(1)
The following is a PBE calculation of a relaxed Sb2TeW crystal, from Alexandria via LeMat-Bulk.

Lattice parameters (Å, degrees): 3.2669 3.2669 9.2712 90.00 90.00 90.00
With the nearest neighbours (Å) after each atom.
Sites, in units of the cell vectors:
W: 0.5000 0.5000 0.7485  4 Te 2.81, 4 Sb 2.92
Te: 0.0000 0.0000 0.5751  4 W 2.81
Sb: 0.5000 0.5000 0.2344  8 Sb 3.27-3.56
Sb: 0.0000 0.0000 0.9420  4 W 2.92, 4 Sb 3.27

Results
Crystal system: tetragonal
Formation energy without anion corrections in eV per atom: 0.349

---

(2)
The following is a PBE calculation of a relaxed Nd12Tl3Au crystal, from Alexandria via LeMat-Bulk.

Lattice parameters (Å, degrees): 4.9816 4.9816 19.7090 90.00 90.00 90.00
With the nearest neighbours (Å) after each atom.
Sites, in units of the cell vectors:
Au: 0.0000 0.0000 0.0000  12 Nd 3.42-3.52
Nd: 0.5000 0.5000 0.5000  4 Tl 3.52, 8 Nd 3.54
Nd: 0.5000 0.0000 0.6274  8 Nd 3.52-3.55, 4 Tl 3.53-3.54
Nd: 0.5000 0.5000 0.0000  8 Nd 3.42, 4 Au 3.52
Nd: 0.0000 0.5000 0.3726  8 Nd 3.52-3.55, 4 Tl 3.53-3.54
Nd: 0.5000 0.5000 0.2443  8 Nd 3.51-3.55, 4 Tl 3.52
Nd: 0.5000 0.0000 0.3726  8 Nd 3.52-3.55, 4 Tl 3.53-3.54
Nd: 0.0000 0.5000 0.1187  2 Au 3.42, 8 Nd 3.42-3.52, 2 Tl 3.53
Nd: 0.5000 0.0000 0.8813  8 Nd 3.42-3.52, 2 Au 3.42, 2 Tl 3.53
Nd: 0.5000 0.0000 0.1187  8 Nd 3.42-3.52, 2 Au 3.42, 2 Tl 3.53
Nd: 0.0000 0.5000 0.6274  8 Nd 3.52-3.55, 4 Tl 3.53-3.54
Nd: 0.5000 0.5000 0.7557  8 Nd 3.51-3.55, 4 Tl 3.52
Nd: 0.0000 0.5000 0.8813  2 Au 3.42, 8 Nd 3.42-3.52, 2 Tl 3.53
Tl: 0.0000 0.0000 0.2459  12 Nd 3.52-3.53
Tl: 0.0000 0.0000 0.7541  12 Nd 3.52-3.53
Tl: 0.0000 0.0000 0.5000  12 Nd 3.52-3.54

Results
Energy of formation from the pure elements in eV/atom: -0.21
Crystal system: tetragonal

---

| no. | density (Mg/m³) | M_tot (μB/f.u.) |
| --- | --- | --- |
| 1 | 9.313 | 0.00 |
| 2 | 8.627 | 0.00 |